[1]
# WO3, optimized geometry, DFT PBE+U
data_WO3
_symmetry_space_group_name_H-M 'C m c m'
_symmetry_Int_Tables_number 63
_symmetry_space_group_name_Hall '-C 2c 2'
_cell_length_a 3.829
_cell_length_b 15.791
_cell_length_c 3.818
_cell_angle_alpha 90.00
_cell_angle_beta 90.00
_cell_angle_gamma 90.00
loop_
_atom_site_label
_atom_site_fract_x
_atom_site_fract_y
_atom_site_fract_z
W1 0.000 0.095 0.250
O1 0.000 0.062 0.750
O2 0.000 0.204 0.250
O3 0.000 0.422 0.750
# Spin magnetization: 0.000 μB per atom

***

[2]
# W3O10, optimized geometry, DFT PBE+U
data_W3O10
_symmetry_space_group_name_H-M 'P 1'
_symmetry_Int_Tables_number 1
_cell_length_a 5.404
_cell_length_b 5.407
_cell_length_c 7.470
_cell_angle_alpha 68.87
_cell_angle_beta 68.90
_cell_angle_gamma 87.71
loop_
_symmetry_equiv_pos_as_xyz
'x,y,z'
loop_
_atom_site_label
_atom_site_fract_x
_atom_site_fract_y
_atom_site_fract_z
W1 0.000 0.000 0.000
W2 0.070 0.569 0.496
W3 0.570 0.068 0.497
O1 0.114 0.756 0.211
O2 0.303 0.809 0.498
O3 0.314 0.310 0.915
O4 0.338 0.978 0.784
O5 0.345 0.344 0.423
O6 0.758 0.114 0.211
O7 0.769 0.768 0.568
O8 0.790 0.791 0.974
O9 0.809 0.301 0.499
O10 0.980 0.339 0.784
# Spin magnetization: 0.153 μB per atom

***

[3]
# WO3, optimized geometry, DFT PBE+U
data_WO3
_symmetry_space_group_name_H-M 'P m m a'
_symmetry_Int_Tables_number 51
_cell_length_a 7.704
_cell_length_b 3.855
_cell_length_c 3.891
_cell_angle_alpha 90.00
_cell_angle_beta 90.00
_cell_angle_gamma 90.00
loop_
_symmetry_equiv_pos_as_xyz
'x,y,z'
'-x,-y,-z'
'-x+1/2,-y,z'
'x+1/2,y,-z'
'x+1/2,-y,-z'
'-x+1/2,y,z'
'-x,y,-z'
'x,-y,z'
loop_
_atom_site_label
_atom_site_fract_x
_atom_site_fract_y
_atom_site_fract_z
W1 0.250 0.000 0.033
O1 0.000 0.000 0.000
O2 0.250 0.000 0.508
O3 0.250 0.500 0.004
# Spin magnetization: 0.000 μB per atom

***

[4]
# WO3, optimized geometry, DFT PBE+U
data_WO3
_symmetry_space_group_name_H-M 'P 63/m m c'
_symmetry_Int_Tables_number 194
_symmetry_space_group_name_Hall '-P 6c 2c'
_cell_length_a 3.5496
_cell_length_b 3.5496
_cell_length_c 11.4903
_cell_angle_alpha 90.00
_cell_angle_beta 90.00
_cell_angle_gamma 120.00
loop_
_atom_site_label
_atom_site_fract_x
_atom_site_fract_y
_atom_site_fract_z
W1 0.3333 0.6667 0.2500
O1 0.0000 0.0000 0.2500
O2 0.3333 0.6667 0.0932
# Spin magnetization: 0.159 μB per atom

***

[5]
# WO4, optimized geometry, DFT PBE+U
data_WO4
_symmetry_space_group_name_H-M 'P 4/n b m'
_symmetry_Int_Tables_number 125
_cell_length_a 4.645
_cell_length_b 4.645
_cell_length_c 5.557
_cell_angle_alpha 90.00
_cell_angle_beta 90.00
_cell_angle_gamma 90.00
loop_
_symmetry_equiv_pos_as_xyz
'x,y,z'
'-x,-y,-z'
'-y+1/2,x,z'
'y+1/2,-x,-z'
'-x+1/2,-y+1/2,z'
'x+1/2,y+1/2,-z'
'y,-x+1/2,z'
'-y,x+1/2,-z'
'x,-y+1/2,-z'
'-x,y+1/2,z'
'-y+1/2,-x+1/2,-z'
'y+1/2,x+1/2,z'
'-x+1/2,y,-z'
'x+1/2,-y,z'
'y,x,-z'
'-y,-x,z'
loop_
_atom_site_label
_atom_site_fract_x
_atom_site_fract_y
_atom_site_fract_z
W1 0.250 0.250 0.000
O1 0.084 0.584 0.199
# ΔE to the lowest computed polymorph: 0.019 eV per atom
# Spin magnetization: 0.353 μB per atom

***

[6]
# W3O, optimized geometry, DFT PBE+U
data_W3O
_symmetry_space_group_name_H-M 'P m -3 n'
_symmetry_Int_Tables_number 223
_symmetry_space_group_name_Hall '-P 4n 2 3'
_cell_length_a 4.980
_cell_length_b 4.980
_cell_length_c 4.980
_cell_angle_alpha 90.00
_cell_angle_beta 90.00
_cell_angle_gamma 90.00
loop_
_atom_site_label
_atom_site_fract_x
_atom_site_fract_y
_atom_site_fract_z
W1 0.000 0.250 0.500
O1 0.000 0.000 0.000
# Spin magnetization: 0.003 μB per atom

***

[7]
# WO5, optimized geometry, DFT PBE+U
data_WO5
_symmetry_space_group_name_H-M 'P m m a'
_symmetry_Int_Tables_number 51
_cell_length_a 7.696
_cell_length_b 6.200
_cell_length_c 3.886
_cell_angle_alpha 90.00
_cell_angle_beta 90.00
_cell_angle_gamma 90.00
loop_
_symmetry_equiv_pos_as_xyz
'x,y,z'
'-x,-y,-z'
'-x+1/2,-y,z'
'x+1/2,y,-z'
'x+1/2,-y,-z'
'-x+1/2,y,z'
'-x,y,-z'
'x,-y,z'
loop_
_atom_site_label
_atom_site_fract_x
_atom_site_fract_y
_atom_site_fract_z
W1 0.250 0.000 0.026
O1 0.000 0.000 0.000
O2 0.000 0.500 0.500
O3 0.250 0.000 0.540
O4 0.250 0.304 0.115
# ΔE to the lowest computed polymorph: 0.832 eV per atom
# Spin magnetization: 0.667 μB per atom

***

[8]
# WO5, optimized geometry, DFT PBE+U
data_WO5
_symmetry_space_group_name_H-M 'P 1 21/c 1'
_symmetry_Int_Tables_number 14
_cell_length_a 8.304
_cell_length_b 3.976
_cell_length_c 12.301
_cell_angle_alpha 90.00
_cell_angle_beta 106.39
_cell_angle_gamma 90.00
loop_
_symmetry_equiv_pos_as_xyz
'x,y,z'
'-x,-y,-z'
'-x,y+1/2,-z+1/2'
'x,-y+1/2,z+1/2'
loop_
_atom_site_label
_atom_site_fract_x
_atom_site_fract_y
_atom_site_fract_z
W1 0.157 0.033 0.316
O1 0.087 0.533 0.283
O2 0.149 0.033 0.456
O3 0.250 0.032 0.177
O4 0.403 0.203 0.362
O5 0.403 0.638 0.862
# ΔE to the lowest computed polymorph: 0.433 eV per atom
# Spin magnetization: 0.334 μB per atom

***

[9]
# W9O13, optimized geometry, DFT PBE+U
data_W9O13
_symmetry_space_group_name_H-M 'P -1'
_symmetry_Int_Tables_number 2
_cell_length_a 3.304
_cell_length_b 7.133
_cell_length_c 17.176
_cell_angle_alpha 82.87
_cell_angle_beta 89.76
_cell_angle_gamma 76.68
loop_
_symmetry_equiv_pos_as_xyz
'x,y,z'
'-x,-y,-z'
loop_
_atom_site_label
_atom_site_fract_x
_atom_site_fract_y
_atom_site_fract_z
W1 0.000 0.000 0.000
W2 0.167 0.677 0.499
W3 0.280 0.425 0.932
W4 0.431 0.142 0.153
W5 0.482 0.039 0.379
O1 0.000 0.028 0.873
O2 0.096 0.839 0.393
O3 0.126 0.771 0.606
O4 0.151 0.661 0.852
O5 0.405 0.187 0.021
O6 0.466 0.080 0.265
O7 0.500 0.000 0.500
# Spin magnetization: 0.954 μB per atom

***

[10]
# WO3, optimized geometry, DFT PBE+U
data_WO3
_symmetry_space_group_name_H-M 'P -4 21 m'
_symmetry_Int_Tables_number 113
_cell_length_a 12.335
_cell_length_b 12.335
_cell_length_c 3.900
_cell_angle_alpha 90.00
_cell_angle_beta 90.00
_cell_angle_gamma 90.00
loop_
_symmetry_equiv_pos_as_xyz
'x,y,z'
'y,-x,-z'
'-x,-y,z'
'-y,x,-z'
'x+1/2,-y+1/2,-z'
'y+1/2,x+1/2,z'
'-x+1/2,y+1/2,-z'
'-y+1/2,-x+1/2,z'
loop_
_atom_site_label
_atom_site_fract_x
_atom_site_fract_y
_atom_site_fract_z
W1 0.000 0.500 0.046
W2 0.077 0.793 0.965
O1 0.000 0.500 0.515
O2 0.003 0.655 0.004
O3 0.068 0.143 0.998
O4 0.077 0.793 0.493
O5 0.213 0.713 0.992
# Spin magnetization: 0.000 μB per atom

***

[11]
# YW2O4, optimized geometry, DFT PBE+U
data_YW2O4
_symmetry_space_group_name_H-M 'R -3 m'
_symmetry_Int_Tables_number 166
_symmetry_space_group_name_Hall '-R 3 2"'
_cell_length_a 6.6362
_cell_length_b 6.6362
_cell_length_c 16.5293
_cell_angle_alpha 90.00
_cell_angle_beta 90.00
_cell_angle_gamma 120.00
loop_
_atom_site_label
_atom_site_fract_x
_atom_site_fract_y
_atom_site_fract_z
Y1 0.0000 0.0000 0.1075
W1 0.0000 0.0000 0.5000
W2 0.0000 0.5000 0.0000
O1 0.0000 0.0000 0.2653
O2 0.0447 0.5224 0.2529
# ΔE to the lowest computed polymorph: 0.101 eV per atom
# Spin magnetization: 0.848 μB per atom

***

[12]
# Y2W3O12, optimized geometry, DFT PBE+U
data_Y2W3O12
_symmetry_space_group_name_H-M 'P b c n'
_symmetry_Int_Tables_number 60
_cell_length_a 14.332
_cell_length_b 10.205
_cell_length_c 10.288
_cell_angle_alpha 90.00
_cell_angle_beta 90.00
_cell_angle_gamma 90.00
loop_
_symmetry_equiv_pos_as_xyz
'x,y,z'
'-x,-y,-z'
'-x+1/2,-y+1/2,z+1/2'
'x+1/2,y+1/2,-z+1/2'
'x+1/2,-y+1/2,-z'
'-x+1/2,y+1/2,z'
'-x,y,-z+1/2'
'x,-y,z+1/2'
loop_
_atom_site_label
_atom_site_fract_x
_atom_site_fract_y
_atom_site_fract_z
Y1 0.117 0.250 0.031
W1 0.000 0.027 0.750
W2 0.143 0.389 0.389
O1 0.033 0.318 0.441
O2 0.066 0.130 0.861
O3 0.080 0.076 0.160
O4 0.140 0.436 0.916
O5 0.158 0.356 0.217
O6 0.238 0.317 0.481
# Spin magnetization: 0.000 μB per atom

***

no.,energy (eV per atom)
1,-7.40
2,-7.09
3,-7.51
4,-6.29
5,-6.29
6,-5.11
7,-5.67
8,-6.07
9,-7.09
10,-7.51
11,-7.71
12,-8.03